No. 1
{
  "formula": "MoAsPd",
  "functional": "PBE-GGA",
  "state": "relaxed",
  "formation_enthalpy_0k_ev_per_atom": 0.000,
  "volume_a3_per_cell": 96.9,
  "total_energy_ev_per_atom": -6.89,
  "sg": "Amm2, No. 38",
  "lattice": [[-1.231, 2.423, -1.076], [-1.626, -1.848, 1.671], [3.479, 6.427, 10.492]],
  "species": ["Mo", "Mo", "Pd", "Pd", "As", "As"],
  "fractional_positions": [[0.463, 0.925, 0.000], [0.425, 0.850, 0.500], [0.756, 0.512, 0.667], [0.756, 0.512, 0.333], [0.134, 0.267, 0.846], [0.134, 0.267, 0.154]]
}


No. 2
{
  "formula": "MoAs2Pd2",
  "functional": "PBE-GGA",
  "state": "relaxed",
  "formation_enthalpy_0k_ev_per_atom": -0.058,
  "volume_a3_per_cell": 162.8,
  "total_energy_ev_per_atom": -6.16,
  "sg": "P4/mbm, No. 127",
  "lattice": [[6.864, 0.000, 0.000], [0.000, 6.864, 0.000], [0.000, 0.000, 3.455]],
  "species": ["As", "Mo", "Pd", "Pd", "As", "As", "Mo", "Pd", "As", "Pd"],
  "fractional_positions": [[0.657, 0.157, 0.000], [0.000, 0.000, 0.000], [0.853, 0.353, 0.500], [0.647, 0.853, 0.500], [0.843, 0.657, 0.000], [0.343, 0.843, 0.000], [0.500, 0.500, 0.000], [0.353, 0.147, 0.500], [0.157, 0.343, 0.000], [0.147, 0.647, 0.500]]
}


No. 3
{
  "formula": "Mo2AsPd",
  "functional": "PBE-GGA",
  "state": "relaxed",
  "formation_enthalpy_0k_ev_per_atom": 1.070,
  "volume_a3_per_cell": 180.1,
  "total_energy_ev_per_atom": -6.81,
  "sg": "I-42d, No. 122",
  "lattice": [[5.857, 0.000, 0.000], [0.000, 5.857, 0.000], [2.929, 2.929, 5.249]],
  "species": ["Pd", "Mo", "As", "Pd", "Mo", "As", "Mo", "Mo"],
  "fractional_positions": [[0.000, 0.000, 0.000], [0.875, 0.877, 0.750], [0.500, 0.500, 0.000], [0.750, 0.250, 0.500], [0.375, 0.373, 0.750], [0.250, 0.750, 0.500], [0.123, 0.625, 0.250], [0.627, 0.125, 0.250]]
}


No. 4
{
  "formula": "MoAsPd3",
  "functional": "PBE-GGA",
  "state": "relaxed",
  "relative_energy_mev_per_atom": 0,
  "formation_enthalpy_0k_ev_per_atom": 0.627,
  "volume_a3_per_cell": 99.5,
  "total_energy_ev_per_atom": -5.58,
  "sg": "Pm-3m, No. 221",
  "lattice": [[4.634, 0.000, 0.000], [0.000, 4.634, 0.000], [0.000, 0.000, 4.634]],
  "species": ["Mo", "Pd", "Pd", "Pd", "As"],
  "fractional_positions": [[0.500, 0.500, 0.500], [0.000, 0.000, 0.500], [0.500, 0.000, 0.000], [0.000, 0.500, 0.000], [0.000, 0.000, 0.000]]
}


No. 5
{
  "formula": "MoAsPd3",
  "functional": "PBE-GGA",
  "state": "relaxed",
  "relative_energy_mev_per_atom": 580,
  "formation_enthalpy_0k_ev_per_atom": 1.208,
  "volume_a3_per_cell": 109.9,
  "total_energy_ev_per_atom": -5.00,
  "sg": "Pm-3m, No. 221",
  "lattice": [[-4.271, 2.034, -0.749], [-1.213, -3.614, -2.900], [-1.797, -2.397, 3.737]],
  "species": ["Pd", "Pd", "As", "Mo", "Pd"],
  "fractional_positions": [[0.000, 0.000, 0.500], [0.500, 0.000, 0.000], [0.500, 0.500, 0.500], [0.000, 0.000, 0.000], [0.000, 0.500, 0.000]]
}


No. 6
{
  "formula": "ReMoAsPd2",
  "functional": "PBE-GGA",
  "state": "relaxed",
  "formation_enthalpy_0k_ev_per_atom": 1.333,
  "volume_a3_per_cell": 109.9,
  "total_energy_ev_per_atom": -6.33,
  "sg": "P4/mmm, No. 123",
  "lattice": [[-3.066, 1.907, 3.265], [1.912, -2.612, 3.321], [3.205, 3.541, 0.941]],
  "species": ["Re", "As", "Mo", "Pd", "Pd"],
  "fractional_positions": [[0.000, 0.000, 0.000], [0.000, 0.500, 0.000], [0.500, 0.500, 0.500], [0.000, 0.000, 0.500], [0.500, 0.000, 0.000]]
}


No. 7
{
  "formula": "MoAs2PdSe",
  "functional": "PBE-GGA",
  "state": "relaxed",
  "relative_energy_mev_per_atom": 0,
  "volume_a3_per_cell": 115.2,
  "raw_formation_energy_ev_per_atom": 0.55,
  "total_energy_ev_per_atom": -5.21,
  "sg": "P4/mmm, No. 123",
  "lattice": [[-0.357, 1.089, 4.749], [1.418, -4.532, 1.146], [4.606, 1.445, 0.015]],
  "species": ["As", "As", "Se", "Pd", "Mo"],
  "fractional_positions": [[0.000, 0.500, 0.000], [0.500, 0.000, 0.000], [0.000, 0.000, 0.500], [0.500, 0.500, 0.500], [0.000, 0.000, 0.000]]
}


No. 8
{
  "formula": "SnMoAs2Pd",
  "functional": "PBE-GGA",
  "state": "relaxed",
  "formation_enthalpy_0k_ev_per_atom": 1.298,
  "volume_a3_per_cell": 131.5,
  "total_energy_ev_per_atom": -4.57,
  "sg": "P4/mmm, No. 123",
  "lattice": [[5.185, 0.000, 0.000], [0.000, 4.890, 0.000], [0.000, 0.000, 5.185]],
  "species": ["Sn", "As", "Mo", "Pd", "As"],
  "fractional_positions": [[0.000, 0.000, 0.000], [0.000, 0.000, 0.500], [0.500, 0.500, 0.500], [0.000, 0.500, 0.000], [0.500, 0.000, 0.000]]
}